# 1
# Sr2WSe

A relaxed structure of Sr2WSe (PBEsol, the Alexandria database).

Values from the calculation:
**Volume**: 124 Å³ per cell
**Crystal system**: tetragonal
**Fermi-level density of states**: 2.2 states/eV per cell
**Space-group type**: No. 99
**Theoretical density**: 5867 kg/m3
**Formation energy from raw total energies**: 0.53 eV/atom

The structure in POSCAR format:
```
Sr2WSe
1.0
4.411 0.000 0.000
0.000 4.411 0.000
0.000 0.000 6.372
Sr W Se
2 1 1
Cartesian
0.000 0.000 0.000
2.206 2.206 2.827
0.000 0.000 3.205
2.206 2.206 6.041
```

=====

# 2
# Mg2Cl3

A relaxed structure of Mg2Cl3 (PBEsol, the Alexandria database).

Values from the calculation:
**Volume**: 120 Å³ per cell
**Crystal system**: trigonal
**Fermi-level density of states**: 1.9 states/eV per cell
**Space-group type**: No. 166
**Theoretical density**: 2148 kg/m3
**Formation energy from raw total energies**: -1.30 eV/atom

The structure in POSCAR format:
```
Mg2Cl3
1.0
1.947 1.124 9.126
-1.947 1.124 9.126
0.000 -2.248 9.126
Mg Cl
2 3
Cartesian
0.000 0.000 2.933
0.000 0.000 24.446
0.000 0.000 7.412
0.000 0.000 13.689
0.000 0.000 19.967
```

=====

# 3
# LiTl2As

A relaxed structure of LiTl2As (PBEsol, the Alexandria database).

Values from the calculation:
**Volume**: 95 Å³ per cell
**ΔE_f**: -0.130 eV/atom
**Crystal system**: monoclinic
**Fermi-level density of states**: 1.8 states/eV per cell
**Space-group type**: No. 6
**Energy above the lowest structure with this stoichiometry**: 68 meV/atom
**Theoretical density**: 8606 kg/m3

The structure in POSCAR format:
```
LiTl2As
1.0
3.057 0.000 0.000
0.000 4.078 0.000
-1.434 0.000 7.593
Li Tl As
1 2 1
Cartesian
0.000 0.000 0.000
0.066 0.000 4.630
1.525 2.039 2.230
0.095 2.039 6.873
```

=====

# 4
# YRhW2

A relaxed structure of YRhW2 (PBEsol, the Alexandria database).

Values from the calculation:
**Volume**: 69 Å³ per cell
**ΔE_f**: 0.444 eV/atom
**Crystal system**: orthorhombic
**Fermi-level density of states**: 3.0 states/eV per cell
**Space-group type**: No. 65
**Energy above the lowest structure with this stoichiometry**: 375 meV/atom
**Theoretical density**: 13508 kg/m3

The structure in POSCAR format:
```
YRhW2
1.0
2.629 -4.691 0.000
2.629 4.691 0.000
0.000 0.000 2.788
Y Rh W
1 1 2
Cartesian
0.000 0.000 0.000
2.629 0.000 0.000
1.315 2.346 1.394
1.315 -2.346 1.394
```

=====

# 5
# YSi2Br

A relaxed structure of YSi2Br (PBEsol, the Alexandria database).

Values from the calculation:
**Volume**: 79 Å³ per cell
**Crystal system**: tetragonal
**Fermi-level density of states**: 2.7 states/eV per cell
**Space-group type**: No. 139
**Energy above the lowest structure with this stoichiometry**: 125 meV/atom
**Theoretical density**: 4751 kg/m3
**Formation energy from raw total energies**: -0.33 eV/atom

The structure in POSCAR format:
```
YSi2Br
1.0
-1.961 1.961 5.113
1.961 -1.961 5.113
1.961 1.961 -5.113
Y Si Br
1 2 1
Cartesian
0.000 0.000 0.000
1.961 0.000 2.557
0.000 1.961 2.557
0.000 0.000 5.113
```

=====

# 6
# Ba3Zn2As4

A relaxed structure of Ba3Zn2As4 (PBEsol, the Alexandria database).

Values from the calculation:
**Volume**: 246 Å³ per cell
**ΔE_f**: -0.851 eV/atom
**Crystal system**: monoclinic
**Fermi-level density of states**: 1.0 states/eV per cell
**Space-group type**: No. 12
**Theoretical density**: 5687 kg/m3

The structure in POSCAR format:
```
Ba3Zn2As4
1.0
8.386 -2.222 0.000
8.386 2.222 0.000
-2.824 0.000 6.602
Ba Zn As
3 2 4
Cartesian
0.000 0.000 0.000
0.776 0.000 3.870
13.172 0.000 2.732
5.436 0.000 0.261
8.513 0.000 6.341
2.997 0.000 1.068
7.305 0.000 2.106
6.643 0.000 4.496
10.952 0.000 5.534
```

=====

# 7
# Ta2FeAgPb

A relaxed structure of Ta2FeAgPb (PBEsol, the Alexandria database).

Values from the calculation:
**Volume**: 110 Å³ per cell
**ΔE_f**: 1.717 eV/atom
**Crystal system**: tetragonal
**Fermi-level density of states**: 5.7 states/eV per cell
**Space-group type**: No. 123
**Theoretical density**: 11076 kg/m3

The structure in POSCAR format:
```
Ta2FeAgPb
1.0
4.899 0.000 0.000
0.000 4.899 0.000
0.000 0.000 4.578
Ta Fe Ag Pb
2 1 1 1
Cartesian
0.000 2.449 0.000
2.449 0.000 0.000
0.000 0.000 2.289
0.000 0.000 0.000
2.449 2.449 2.289
```

=====

# 8
# LaZnSn

A relaxed structure of LaZnSn (PBEsol, the Alexandria database).

Values from the calculation:
**Volume**: 151 Å³ per cell
**ΔE_f**: -0.645 eV/atom
**Crystal system**: hexagonal
**Fermi-level density of states**: 5.6 states/eV per cell
**Space-group type**: No. 194
**Theoretical density**: 7085 kg/m3

The structure in POSCAR format:
```
LaZnSn
1.0
4.481 0.000 0.000
-2.240 3.881 0.000
0.000 0.000 8.709
La Zn Sn
2 2 2
Cartesian
0.000 0.000 0.000
0.000 0.000 4.354
0.000 2.587 2.177
2.240 1.294 6.532
0.000 2.587 6.532
2.240 1.294 2.177
```

=====

# 9
# La2AlIn

A relaxed structure of La2AlIn (PBEsol, the Alexandria database).

Values from the calculation:
**Volume**: 105 Å³ per cell
**ΔE_f**: -0.014 eV/atom
**Crystal system**: cubic
**Fermi-level density of states**: 7.9 states/eV per cell
**Space-group type**: No. 216
**Theoretical density**: 6637 kg/m3

The structure in POSCAR format:
```
La2AlIn
1.0
0.000 3.744 3.744
3.744 0.000 3.744
3.744 3.744 0.000
La Al In
2 1 1
Cartesian
0.000 0.000 0.000
1.872 1.872 1.872
5.616 5.616 5.616
3.744 3.744 3.744
```

=====

# 10
# ZrPt2W

A relaxed structure of ZrPt2W (PBEsol, the Alexandria database).

Values from the calculation:
**Volume**: 66 Å³ per cell
**ΔE_f**: -0.453 eV/atom
**Crystal system**: monoclinic
**Fermi-level density of states**: 3.1 states/eV per cell
**Space-group type**: No. 8
**Theoretical density**: 16836 kg/m3

The structure in POSCAR format:
```
ZrPt2W
1.0
4.677 -1.417 0.000
4.677 1.417 0.000
-0.833 0.000 4.951
Zr Pt W
1 2 1
Cartesian
0.000 0.000 0.000
1.673 0.000 3.903
4.235 0.000 2.455
6.787 0.000 1.574
```

=====

# 11
# Cd2Bi2Br

A relaxed structure of Cd2Bi2Br (PBEsol, the Alexandria database).

Values from the calculation:
**Volume**: 147 Å³ per cell
**Crystal system**: tetragonal
**Fermi-level density of states**: 2.4 states/eV per cell
**Space-group type**: No. 139
**Theoretical density**: 8157 kg/m3
**Formation energy from raw total energies**: 0.01 eV/atom

The structure in POSCAR format:
```
Cd2Bi2Br
1.0
-2.238 2.238 7.347
2.238 -2.238 7.347
2.238 2.238 -7.347
Cd Bi Br
2 2 1
Cartesian
0.000 0.000 1.359
0.000 0.000 13.335
2.238 0.000 3.673
0.000 2.238 3.673
0.000 0.000 7.347
```

=====

# 12
# Cs2K4Fe2O5

A relaxed structure of Cs2K4Fe2O5 (PBEsol, the Alexandria database).

Values from the calculation:
**Volume**: 269 Å³ per cell
**Crystal system**: monoclinic
**Fermi-level density of states**: 0.6 states/eV per cell
**Space-group type**: No. 12
**Theoretical density**: 3789 kg/m3
**Formation energy from raw total energies**: -1.22 eV/atom

The structure in POSCAR format:
```
Cs2K4Fe2O5
1.0
3.500 -5.566 0.000
3.500 5.566 0.000
-0.137 0.000 6.906
Cs K Fe O
2 4 2 5
Cartesian
1.143 0.000 2.081
5.720 0.000 4.825
3.500 2.665 0.000
3.432 2.407 3.453
3.432 -2.407 3.453
3.500 -2.665 0.000
1.998 0.000 5.572
4.866 0.000 1.333
1.371 1.628 5.037
1.371 -1.628 5.037
3.500 0.000 0.000
5.492 1.628 1.868
5.492 -1.628 1.868
```